[1]
# Sc2RhBr meta-GGA SCAN single point on PBEsol structure
# * crystal system: trigonal
# * DFT total energy: -20.6878 eV/atom
# * total magnetization: 3.22 μB per cell
data_Sc2RhBr
_symmetry_space_group_name_H-M 'R -3 m'
_symmetry_Int_Tables_number 166
_symmetry_space_group_name_Hall '-R 3 2"'
_cell_length_a 3.1701
_cell_length_b 3.1701
_cell_length_c 27.2178
_cell_angle_alpha 90.00
_cell_angle_beta 90.00
_cell_angle_gamma 120.00
loop_
_atom_site_label
_atom_site_type_symbol
_atom_site_fract_x
_atom_site_fract_y
_atom_site_fract_z
Sc1 Sc 0.0000 0.0000 0.0860
Rh1 Rh 0.0000 0.0000 0.0000
Br1 Br 0.0000 0.0000 0.5000

[2]
# LiCaBr meta-GGA SCAN single point on PBEsol structure
# * crystal system: cubic
# * DFT total energy: -10.7393 eV/atom
# * total magnetization: 3.36 μB per cell
data_LiCaBr
_symmetry_space_group_name_H-M 'F -4 3 m'
_symmetry_Int_Tables_number 216
_symmetry_space_group_name_Hall 'F -4 2 3'
_cell_length_a 7.1359
_cell_length_b 7.1359
_cell_length_c 7.1359
_cell_angle_alpha 90.00
_cell_angle_beta 90.00
_cell_angle_gamma 90.00
loop_
_atom_site_label
_atom_site_type_symbol
_atom_site_fract_x
_atom_site_fract_y
_atom_site_fract_z
Li1 Li 0.0000 0.0000 0.0000
Ca1 Ca 0.2500 0.2500 0.7500
Br1 Br 0.2500 0.2500 0.2500

[3]
# LiZn2As meta-GGA SCAN single point on PBEsol structure
# * crystal system: tetragonal
# * DFT total energy: -12.5480 eV/atom
# * total magnetization: 0.00 μB per cell
data_LiZn2As
_symmetry_space_group_name_H-M 'I -4 m 2'
_symmetry_Int_Tables_number 119
_symmetry_space_group_name_Hall 'I -4 -2'
_cell_length_a 3.8946
_cell_length_b 3.8946
_cell_length_c 7.9829
_cell_angle_alpha 90.00
_cell_angle_beta 90.00
_cell_angle_gamma 90.00
loop_
_atom_site_label
_atom_site_type_symbol
_atom_site_fract_x
_atom_site_fract_y
_atom_site_fract_z
Li1 Li 0.0000 0.0000 0.0000
Zn1 Zn 0.0000 0.0000 0.5000
Zn2 Zn 0.0000 0.5000 0.7500
As1 As 0.0000 0.5000 0.2500

[4]
# Sb2AsBr meta-GGA SCAN single point on PBEsol structure
# * energy above the lowest structure with this stoichiometry: 235 meV/atom
# * crystal system: orthorhombic
# * total magnetization: 0.02 μB per cell
data_Sb2AsBr
_symmetry_space_group_name_H-M 'C m m m'
_symmetry_Int_Tables_number 65
_symmetry_space_group_name_Hall '-C 2 2'
_cell_length_a 3.6273
_cell_length_b 5.6696
_cell_length_c 9.3624
_cell_angle_alpha 90.00
_cell_angle_beta 90.00
_cell_angle_gamma 90.00
loop_
_atom_site_label
_atom_site_type_symbol
_atom_site_fract_x
_atom_site_fract_y
_atom_site_fract_z
Sb1 Sb 0.0000 0.0000 0.2361
As1 As 0.0000 0.5000 0.0000
Br1 Br 0.0000 0.5000 0.5000